Below is crystalline Pr3Sm3NiTe2 at its relaxed geometry, with properties calculated at the GGA-PBE level.

Computed properties:
Electronic total energy in eV per atom: -5.2155
Space group: P-62m
Total magnetization in μB per formula unit: 0.0

Structure (CIF):
```
data_Pr3Sm3NiTe2
_chemical_formula_sum 'Pr3 Sm3 Ni1 Te2'
_cell_length_a 8.640
_cell_length_b 8.640
_cell_length_c 4.027
_cell_angle_alpha 90.00
_cell_angle_beta 90.00
_cell_angle_gamma 120.00
_space_group_name_H-M_alt 'P 1'
_space_group_IT_number 1
loop_
_space_group_symop_operation_xyz
'x,y,z'
loop_
_atom_site_label
_atom_site_type_symbol
_atom_site_fract_x
_atom_site_fract_y
_atom_site_fract_z
Pr1 Pr 0.000 0.589 0.000
Pr2 Pr 0.411 0.411 0.000
Pr3 Pr 0.589 0.000 0.000
Sm1 Sm 0.000 0.238 0.500
Sm2 Sm 0.238 0.000 0.500
Sm3 Sm 0.762 0.762 0.500
Ni1 Ni 0.000 0.000 0.000
Te1 Te 0.333 0.667 0.500
Te2 Te 0.667 0.333 0.500
```

---

Below is crystalline DyTm2In3CuGe2 at its relaxed geometry, with properties calculated at the GGA-PBE level.

Computed properties:
Electronic total energy in eV per atom: -4.3759
Space group: Amm2
Total magnetization in μB per formula unit: 0.0

Structure (CIF):
```
data_DyTm2In3CuGe2
_chemical_formula_sum 'Dy1 Tm2 In3 Cu1 Ge2'
_cell_length_a 4.191
_cell_length_b 7.353
_cell_length_c 7.353
_cell_angle_alpha 120.10
_cell_angle_beta 90.00
_cell_angle_gamma 90.00
_space_group_name_H-M_alt 'P 1'
_space_group_IT_number 1
loop_
_space_group_symop_operation_xyz
'x,y,z'
loop_
_atom_site_label
_atom_site_type_symbol
_atom_site_fract_x
_atom_site_fract_y
_atom_site_fract_z
Dy1 Dy 0.000 0.000 0.000
Tm1 Tm 0.000 0.193 0.597
Tm2 Tm 0.000 0.597 0.193
In1 In 0.500 0.352 0.352
In2 In 0.500 0.596 0.839
In3 In 0.500 0.839 0.596
Cu1 Cu 0.000 0.593 0.593
Ge1 Ge 0.500 0.265 0.929
Ge2 Ge 0.500 0.929 0.265
```

---

Below is crystalline NbZnGaNi at its relaxed geometry, with properties calculated at the GGA-PBE level.

Computed properties:
Electronic total energy in eV per atom: -5.0233
Space group: F-43m
Total magnetization in μB per formula unit: 0.0

Structure (CIF):
```
data_NbZnGaNi
_chemical_formula_sum 'Nb1 Zn1 Ga1 Ni1'
_cell_length_a 4.350
_cell_length_b 4.350
_cell_length_c 4.350
_cell_angle_alpha 60.00
_cell_angle_beta 60.00
_cell_angle_gamma 60.00
_space_group_name_H-M_alt 'P 1'
_space_group_IT_number 1
loop_
_space_group_symop_operation_xyz
'x,y,z'
loop_
_atom_site_label
_atom_site_type_symbol
_atom_site_fract_x
_atom_site_fract_y
_atom_site_fract_z
Nb1 Nb 0.000 0.000 0.000
Zn1 Zn 0.750 0.750 0.750
Ga1 Ga 0.250 0.250 0.250
Ni1 Ni 0.500 0.500 0.500
```

---

Below is crystalline ErTmIr at its relaxed geometry, with properties calculated at the GGA-PBE level.

Computed properties:
Electronic total energy in eV per atom: -5.8045
ΔH_f (0 K) in eV per atom: 0.16
Space group: F-43m
Total magnetization in μB per formula unit: 0.0

Structure (CIF):
```
data_ErTmIr
_chemical_formula_sum 'Er1 Tm1 Ir1'
_cell_length_a 4.668
_cell_length_b 4.668
_cell_length_c 4.668
_cell_angle_alpha 60.00
_cell_angle_beta 60.00
_cell_angle_gamma 60.00
_space_group_name_H-M_alt 'P 1'
_space_group_IT_number 1
loop_
_space_group_symop_operation_xyz
'x,y,z'
loop_
_atom_site_label
_atom_site_type_symbol
_atom_site_fract_x
_atom_site_fract_y
_atom_site_fract_z
Er1 Er 0.000 0.000 0.000
Tm1 Tm 0.250 0.250 0.250
Ir1 Ir 0.500 0.500 0.500
```

---

Below is crystalline TbGaGePt2 at its relaxed geometry, with properties calculated at the GGA-PBE level.

Computed properties:
Electronic total energy in eV per atom: -5.8101
Space group: P4/nmm
Total magnetization in μB per formula unit: 0.0

Structure (CIF):
```
data_TbGaGePt2
_chemical_formula_sum 'Tb2 Ga2 Ge2 Pt4'
_cell_length_a 4.243
_cell_length_b 4.243
_cell_length_c 10.432
_cell_angle_alpha 90.00
_cell_angle_beta 90.00
_cell_angle_gamma 90.00
_space_group_name_H-M_alt 'P 1'
_space_group_IT_number 1
loop_
_space_group_symop_operation_xyz
'x,y,z'
loop_
_atom_site_label
_atom_site_type_symbol
_atom_site_fract_x
_atom_site_fract_y
_atom_site_fract_z
Tb1 Tb 0.250 0.250 0.248
Tb2 Tb 0.750 0.750 0.752
Ga1 Ga 0.250 0.750 0.000
Ga2 Ga 0.750 0.250 0.000
Ge1 Ge 0.250 0.250 0.633
Ge2 Ge 0.750 0.750 0.367
Pt1 Pt 0.250 0.250 0.864
Pt2 Pt 0.250 0.750 0.500
Pt3 Pt 0.750 0.250 0.500
Pt4 Pt 0.750 0.750 0.136
```

---

Below is crystalline SbIr at its relaxed geometry, with properties calculated at the GGA-PBE level.

Computed properties:
Electronic total energy in eV per atom: -6.2747
Space group: P-6m2
Total magnetization in μB per formula unit: 0.0

Structure (CIF):
```
data_SbIr
_chemical_formula_sum 'Sb1 Ir1'
_cell_length_a 3.672
_cell_length_b 3.672
_cell_length_c 3.383
_cell_angle_alpha 90.00
_cell_angle_beta 90.00
_cell_angle_gamma 120.00
_space_group_name_H-M_alt 'P 1'
_space_group_IT_number 1
loop_
_space_group_symop_operation_xyz
'x,y,z'
loop_
_atom_site_label
_atom_site_type_symbol
_atom_site_fract_x
_atom_site_fract_y
_atom_site_fract_z
Sb1 Sb 0.000 0.000 0.000
Ir1 Ir 0.333 0.667 0.500
```

---

Below is crystalline GaB2Au at its relaxed geometry, with properties calculated at the GGA-PBE level.

Computed properties:
Electronic total energy in eV per atom: -3.4592
Space group: F-43m

Structure (CIF):
```
data_GaB2Au
_chemical_formula_sum 'Ga1 B2 Au1'
_cell_length_a 4.210
_cell_length_b 4.210
_cell_length_c 4.210
_cell_angle_alpha 60.00
_cell_angle_beta 60.00
_cell_angle_gamma 60.00
_space_group_name_H-M_alt 'P 1'
_space_group_IT_number 1
loop_
_space_group_symop_operation_xyz
'x,y,z'
loop_
_atom_site_label
_atom_site_type_symbol
_atom_site_fract_x
_atom_site_fract_y
_atom_site_fract_z
Ga1 Ga 0.000 0.000 0.000
B1 B 0.500 0.500 0.500
B2 B 0.750 0.750 0.750
Au1 Au 0.250 0.250 0.250
```

---

Below is crystalline KPtO3 at its relaxed geometry, with properties calculated at the GGA-PBE level.

Computed properties:
Electronic total energy in eV per atom: -4.9617
Space group: Pnma
Total magnetization in μB per formula unit: 1.0

Structure (CIF):
```
data_KPtO3
_chemical_formula_sum 'K4 Pt4 O12'
_cell_length_a 6.337
_cell_length_b 9.445
_cell_length_c 6.311
_cell_angle_alpha 90.00
_cell_angle_beta 90.00
_cell_angle_gamma 90.00
_space_group_name_H-M_alt 'P 1'
_space_group_IT_number 1
loop_
_space_group_symop_operation_xyz
'x,y,z'
loop_
_atom_site_label
_atom_site_type_symbol
_atom_site_fract_x
_atom_site_fract_y
_atom_site_fract_z
K1 K 0.000 0.000 0.000
K2 K 0.000 0.500 0.000
K3 K 0.500 0.000 0.500
K4 K 0.500 0.500 0.500
Pt1 Pt 0.012 0.250 0.458
Pt2 Pt 0.488 0.750 0.958
Pt3 Pt 0.512 0.250 0.042
Pt4 Pt 0.988 0.750 0.542
O1 O 0.134 0.596 0.629
O2 O 0.134 0.904 0.629
O3 O 0.242 0.750 0.096
O4 O 0.258 0.250 0.596
O5 O 0.366 0.096 0.129
O6 O 0.366 0.404 0.129
O7 O 0.634 0.596 0.871
O8 O 0.634 0.904 0.871
O9 O 0.742 0.750 0.404
O10 O 0.758 0.250 0.904
O11 O 0.866 0.096 0.371
O12 O 0.866 0.404 0.371
```